A plane-wave DFT calculation with PBE-GGA was carried out for crystalline TlOs2Pb at its relaxed geometry. Values from VASP.

The structure in Quantum ESPRESSO input format:
```
&SYSTEM
  ibrav = 0, nat = 4, ntyp = 3
/
ATOMIC_SPECIES
Os 190.23 Os.upf
Pb 207.20 Pb.upf
Tl 204.38 Tl.upf
CELL_PARAMETERS angstrom
-1.707 -4.417 -0.666
2.295 -3.040 -2.891
2.314 -3.760 1.836
ATOMIC_POSITIONS angstrom
Os 0.000 0.000 0.000
Os 2.176 -8.412 -1.290
Pb 1.451 -5.608 -0.860
Tl 0.725 -2.804 -0.430
```

Results
The calculation puts the density at 17.0 g cm⁻³. As for the electronic total energy: -5.846 eV per atom. The calculation puts the energy of formation from the pure elements at 1.287 eV per atom. The calculation puts the energy above the most stable polymorph in this dataset at 2.97 eV per formula unit.